## CaPr6Dy2 (PBE-GGA)

Data for a geometry-optimized CaPr6Dy2 structure.

Cell lengths 6.1312, 6.1312, 11.7827 Å; angles 90.00, 90.00, 120.00 degrees
Sites, in units of the cell vectors:
Dy 0.3333 0.6667 0.5000
Dy 0.6667 0.3333 0.5000
Pr 0.0000 0.6691 0.7407
Pr 0.3309 0.0000 0.2593
Pr 0.6691 0.6691 0.2593
Pr 0.3309 0.3309 0.7407
Pr 0.6691 0.0000 0.7407
Pr 0.0000 0.3309 0.2593
Ca 0.0000 0.0000 0.0000

Computed properties:
Electronic total energy, eV/atom: -3.95
Formation enthalpy at 0 K, eV per atom: 0.483
Space group: P-31m